No. 1
## As3HW (PBE-GGA)

Data for As3HW after structural relaxation.

Values from the calculation:
Magnetic moment in μB per cell: 0.98
VASP energy in eV/atom: -5.10
N(E_F) in states/eV per cell: 3.6

a b c (Å): 4.182 4.182 4.182
angles (deg): 90.00 90.00 90.00
Space group Pm-3m (No. 221)
Unique sites:
1 As 0.000 0.000 0.500 [3 per cell]
2 H 0.000 0.000 0.000 [1 per cell]
3 W 0.500 0.500 0.500 [1 per cell]

=====

No. 2
## BaNb3B (PBE-GGA)

Data for BaNb3B after structural relaxation.

Values from the calculation:
Magnetic moment in μB per cell: 0.00
VASP energy in eV/atom: -4.36
N(E_F) in states/eV per cell: 5.0

a b c (Å): 5.050 5.050 5.050
angles (deg): 90.00 90.00 90.00
Space group Pm-3m (No. 221)
Unique sites:
1 Ba 0.000 0.000 0.000 [1 per cell]
2 Nb 0.000 0.000 0.500 [3 per cell]
3 B 0.500 0.500 0.500 [1 per cell]

=====

No. 3
## CaY2Re (PBE-GGA)

Data for CaY2Re after structural relaxation.

Values from the calculation:
Magnetic moment in μB per cell: 0.00
VASP energy in eV/atom: -6.46
N(E_F) in states/eV per cell: 7.0

a b c (Å): 7.586 3.498 9.445
angles (deg): 90.00 96.62 90.00
Space group C2/m (No. 12)
Unique sites:
1 Ca 0.000 0.000 0.000 [2 per cell]
2 Y 0.225 0.000 0.672 [4 per cell]
3 Re 0.000 0.500 0.500 [2 per cell]

=====

No. 4
## YSc4Cd2 (PBE-GGA)

Data for YSc4Cd2 after structural relaxation.

Values from the calculation:
Magnetic moment in μB per cell: 0.75
VASP energy in eV/atom: -4.81
N(E_F) in states/eV per cell: 16.5

a b c (Å): 7.567 7.567 5.979
angles (deg): 90.00 90.00 90.00
Space group I4/mmm (No. 139)
Unique sites:
1 Y 0.000 0.000 0.000 [2 per cell]
2 Sc 0.199 0.199 0.500 [8 per cell]
3 Cd 0.000 0.500 0.250 [4 per cell]

=====

No. 5
## CdRuAu2Se (PBE-GGA)

Data for CdRuAu2Se after structural relaxation.

Values from the calculation:
Magnetic moment in μB per cell: 2.58
VASP energy in eV/atom: -2.73
N(E_F) in states/eV per cell: 8.3

a b c (Å): 5.135 5.135 5.060
angles (deg): 90.00 90.00 90.00
Space group P4/mmm (No. 123)
Unique sites:
1 Cd 0.000 0.000 0.000 [1 per cell]
2 Ru 0.500 0.500 0.500 [1 per cell]
3 Au 0.000 0.500 0.000 [2 per cell]
4 Se 0.000 0.000 0.500 [1 per cell]

=====

No. 6
## YMgTiAl (PBE-GGA)

Data for YMgTiAl after structural relaxation.

Values from the calculation:
Magnetic moment in μB per cell: 0.06
VASP energy in eV/atom: -5.02
N(E_F) in states/eV per cell: 14.6

a b c (Å): 6.939 6.939 6.939
angles (deg): 90.00 90.00 90.00
Space group F-43m (No. 216)
Unique sites:
1 Y 0.000 0.000 0.000 [4 per cell]
2 Mg 0.250 0.250 0.250 [4 per cell]
3 Ti 0.000 0.000 0.500 [4 per cell]
4 Al 0.250 0.250 0.750 [4 per cell]